Crystalline PaZnAu at its relaxed geometry, computed with PBE.

Values from the calculation:
Final energy ... -13.080 eV/cell
M_tot ... 0.54 μB/f.u.

a = 4.7660 Å, b = 4.7660 Å, c = 4.7660 Å
α = 60.00°, β = 60.00°, γ = 60.00°
Last column: nearest neighbours and their distance in Å.
Fractional positions:
Au 0.7500 0.7500 0.7500  4 Pa 2.92
Pa 0.5000 0.5000 0.5000  4 Au 2.92, 4 Zn 2.92
Zn 0.2500 0.2500 0.2500  4 Pa 2.92

---

Crystalline SrCoW2 at its relaxed geometry, computed with PBE.

Values from the calculation:
Final energy ... -30.356 eV/cell
M_tot ... 1.00 μB/f.u.

a = 4.6407 Å, b = 4.6407 Å, c = 4.6407 Å
α = 60.00°, β = 60.00°, γ = 60.00°
Last column: nearest neighbours and their distance in Å.
Fractional positions:
Co 0.2500 0.2500 0.2500  4 Sr 2.84, 4 W 2.84
Sr 0.5000 0.5000 0.5000  4 W 2.84, 4 Co 2.84
W 0.0000 0.0000 0.0000  4 W 2.84, 4 Co 2.84
W 0.7500 0.7500 0.7500  4 Sr 2.84, 4 W 2.84

---

Crystalline LiGaPt at its relaxed geometry, computed with PBE.

Values from the calculation:
Final energy ... -39.167 eV/cell
M_tot ... 0.00 μB/f.u.

a = 7.2861 Å, b = 7.2861 Å, c = 2.8406 Å
α = 90.00°, β = 90.00°, γ = 120.00°
Last column: nearest neighbours and their distance in Å.
Fractional positions:
Ga 0.6667 0.3333 0.0000  3 Pt 2.54, 6 Li 2.73, 2 Ga 2.84
Ga 0.3333 0.6667 0.0000  3 Pt 2.54, 6 Li 2.73, 2 Ga 2.84
Ga 0.0000 0.0000 0.5000  6 Pt 2.63, 3 Li 2.65, 2 Ga 2.84
Li 0.6368 0.0000 0.5000  5 Ga 2.65-2.73, 6 Pt 2.81-2.84, 2 Li 2.84
Li 0.3632 0.3632 0.5000  5 Ga 2.65-2.73, 6 Pt 2.81-2.84, 2 Li 2.84
Li 0.0000 0.6368 0.5000  5 Ga 2.65-2.73, 6 Pt 2.81-2.84, 2 Li 2.84
Pt 0.3043 0.0000 0.0000  4 Ga 2.54-2.63, 6 Li 2.81-2.84, 2 Pt 2.84
Pt 0.0000 0.3043 0.0000  4 Ga 2.54-2.63, 6 Li 2.81-2.84, 2 Pt 2.84
Pt 0.6957 0.6957 0.0000  4 Ga 2.54-2.63, 6 Li 2.81-2.84, 2 Pt 2.84

---

Crystalline Dy3Zr3Bi2Os at its relaxed geometry, computed with PBE.

Values from the calculation:
E above lowest polymorph ... 0.0 meV/atom
Final energy ... -63.146 eV/cell
M_tot ... 0.02 μB/f.u.

a = 8.1203 Å, b = 8.1203 Å, c = 4.0298 Å
α = 90.00°, β = 90.00°, γ = 120.00°
Last column: nearest neighbours and their distance in Å.
Fractional positions:
Bi 0.6667 0.3333 0.5000  3 Zr 3.21, 6 Dy 3.21
Bi 0.3333 0.6667 0.5000  3 Zr 3.21, 6 Dy 3.21
Dy 0.3921 0.0000 0.0000  1 Os 3.18, 4 Bi 3.21, 4 Zr 3.43
Dy 0.0000 0.3921 0.0000  1 Os 3.18, 4 Bi 3.21, 4 Zr 3.43
Dy 0.6079 0.6079 0.0000  1 Os 3.18, 4 Bi 3.21, 4 Zr 3.43
Os 0.0000 0.0000 0.0000  6 Zr 2.75
Zr 0.7696 0.0000 0.5000  2 Os 2.75
Zr 0.2304 0.2304 0.5000  2 Os 2.75
Zr 0.0000 0.7696 0.5000  2 Os 2.75